A relaxed structure of La6Co2IrCl3. Source: Alexandria, functional GGA-PBE.

- formation energy from raw total energies (eV per atom) = -1.07
- total magnetic moment (μB per cell) = 0.00

Structure (CIF):
```
data_La6Co2IrCl3
_cell_length_a 19.328
_cell_length_b 4.078
_cell_length_c 8.983
_cell_angle_alpha 90.00
_cell_angle_beta 110.65
_cell_angle_gamma 90.00
_space_group_name_H-M_alt 'C 1 2/m 1'
_space_group_IT_number 12
_space_group_name_Hall '-C 2y'
loop_
_atom_site_label
_atom_site_type_symbol
_atom_site_fract_x
_atom_site_fract_y
_atom_site_fract_z
La1 La 0.013 0.000 0.230
La2 La 0.159 0.500 0.117
La3 La 0.179 0.500 0.555
Co1 Co 0.168 0.000 0.336
Ir1 Ir 0.000 0.500 0.000
Cl1 Cl 0.000 0.500 0.500
Cl2 Cl 0.167 0.000 0.833
```